No. 1
Compound: NdHo6Tl3
Source: Alexandria
Functional: PBE
Structure: relaxed

Values from the calculation:
Its energy of formation from the pure elements is -1.3 eV per formula unit.

Cell and atoms, written as CIF:
```
data_NdHo6Tl3
_cell_length_a 11.429
_cell_length_b 12.777
_cell_length_c 8.497
_cell_angle_alpha 90.00
_cell_angle_beta 90.00
_cell_angle_gamma 90.00
_symmetry_space_group_name_H-M 'C m c 21'
_symmetry_Int_Tables_number 36
loop_
_symmetry_equiv_pos_as_xyz
'x,y,z'
'-x,-y,z+1/2'
'-x,y,z'
'x,-y,z+1/2'
'x+1/2,y+1/2,z'
'-x+1/2,-y+1/2,z+1/2'
'-x+1/2,y+1/2,z'
'x+1/2,-y+1/2,z+1/2'
loop_
_atom_site_label
_atom_site_type_symbol
_atom_site_fract_x
_atom_site_fract_y
_atom_site_fract_z
Nd1 Nd 0.000 0.180 0.000
Ho1 Ho 0.000 0.269 0.421
Ho2 Ho 0.000 0.462 0.812
Ho3 Ho 0.170 0.064 0.336
Ho4 Ho 0.244 0.317 0.190
Tl1 Tl 0.000 0.078 0.641
Tl2 Tl 0.190 0.415 0.539
```

No. 2
Compound: Nd6Ho3Tl
Source: Alexandria
Functional: PBE
Structure: relaxed

Values from the calculation:
Its energy of formation from the pure elements is 0.2 eV per formula unit. The relative energy among the computed polymorphs comes out at 0 meV/atom.

Cell and atoms, written as CIF:
```
data_Nd6Ho3Tl
_cell_length_a 12.438
_cell_length_b 3.631
_cell_length_c 14.905
_cell_angle_alpha 90.00
_cell_angle_beta 93.96
_cell_angle_gamma 90.00
_symmetry_space_group_name_H-M 'P 1 21/m 1'
_symmetry_Int_Tables_number 11
loop_
_symmetry_equiv_pos_as_xyz
'x,y,z'
'-x,-y,-z'
'-x,y+1/2,-z'
'x,-y+1/2,z'
loop_
_atom_site_label
_atom_site_type_symbol
_atom_site_fract_x
_atom_site_fract_y
_atom_site_fract_z
Nd1 Nd 0.063 0.250 0.391
Nd2 Nd 0.119 0.750 0.954
Nd3 Nd 0.201 0.250 0.752
Nd4 Nd 0.295 0.750 0.312
Nd5 Nd 0.310 0.250 0.108
Nd6 Nd 0.388 0.250 0.498
Ho1 Ho 0.073 0.750 0.182
Ho2 Ho 0.400 0.750 0.919
Ho3 Ho 0.449 0.750 0.698
Tl1 Tl 0.189 0.750 0.559
```

| no. | final energy (eV/atom) |
| --- | --- |
| 1 | -4.06 |
| 2 | -4.45 |